This record from the Alexandria database describes a geometry-optimized Ti2ZnPt structure. The functional is PBE.

abc: 3.9806 3.9806 3.9055
angles: 90.00 90.00 90.00
Last column: nearest neighbours and their distance in Å.
Space group P4/mmm (No. 123)
One atom of each set of equivalent atoms:
Ti 0.0000 0.5000 0.0000 [2 per cell]  4 Pt 2.79, 4 Zn 2.79, 4 Ti 2.81
Zn 0.0000 0.0000 0.5000 [1 per cell]  8 Ti 2.79, 4 Pt 2.81
Pt 0.5000 0.5000 0.5000 [1 per cell]  8 Ti 2.79, 4 Zn 2.81

Summary:
M_tot = 0.05 μB per atom
E_form = -558.5 meV/atom